## LuTe3PbAu (GGA-PBE)

Data for an optimized crystal structure of LuTe3PbAu. Values from VASP.

## Properties
Space group ... Pnma, No. 62
Crystal system ... orthorhombic

Quantum ESPRESSO input file:
```
&SYSTEM
  ibrav = 0, nat = 24, ntyp = 4
/
ATOMIC_SPECIES
Au 196.97 Au.upf
Lu 174.97 Lu.upf
Te 127.60 Te.upf
Pb 207.20 Pb.upf
CELL_PARAMETERS angstrom
-1.842 -11.161 -3.938
0.221 -1.500 4.148
-13.103 1.700 1.312
ATOMIC_POSITIONS crystal
Au 0.226 0.000 0.306
Lu 0.189 0.500 0.482
Lu 0.811 0.000 0.518
Te 0.178 0.500 0.191
Te 0.949 0.500 0.400
Te 0.364 0.000 0.467
Te 0.136 0.000 0.967
Te 0.551 0.500 0.900
Te 0.636 0.500 0.533
Au 0.774 0.500 0.694
Pb 0.952 0.000 0.222
Lu 0.689 0.000 0.018
Au 0.274 0.000 0.806
Te 0.864 0.500 0.033
Pb 0.452 0.500 0.278
Te 0.051 0.000 0.600
Te 0.822 0.000 0.809
Te 0.449 0.000 0.100
Au 0.726 0.500 0.194
Te 0.678 0.000 0.309
Pb 0.048 0.500 0.778
Lu 0.311 0.500 0.982
Pb 0.548 0.000 0.722
Te 0.322 0.500 0.691
```

## RbZrAgS3 (GGA-PBE)

Data for an optimized crystal structure of RbZrAgS3. Values from VASP.

## Properties
Space group ... Pnma, No. 62
Crystal system ... orthorhombic

Quantum ESPRESSO input file:
```
&SYSTEM
  ibrav = 0, nat = 24, ntyp = 4
/
ATOMIC_SPECIES
S 32.06 S.upf
Ag 107.87 Ag.upf
Rb 85.47 Rb.upf
Zr 91.22 Zr.upf
CELL_PARAMETERS angstrom
10.545 0.000 0.000
0.000 3.840 0.000
0.000 0.000 14.913
ATOMIC_POSITIONS crystal
S 0.764 0.750 0.819
S 0.264 0.750 0.681
S 0.472 0.250 0.860
Ag 0.746 0.750 0.206
Rb 0.744 0.250 0.997
S 0.547 0.250 0.629
Zr 0.480 0.750 0.740
Zr 0.980 0.750 0.760
Zr 0.520 0.250 0.260
S 0.453 0.750 0.371
S 0.047 0.250 0.871
S 0.528 0.750 0.140
Zr 0.020 0.250 0.240
S 0.236 0.250 0.181
S 0.972 0.250 0.640
Rb 0.244 0.250 0.503
Ag 0.246 0.750 0.294
S 0.028 0.750 0.360
S 0.736 0.250 0.319
Ag 0.754 0.250 0.706
S 0.953 0.750 0.129
Rb 0.256 0.750 0.003
Ag 0.254 0.250 0.794
Rb 0.756 0.750 0.497
```

## GdTcNO (GGA-PBE)

Data for an optimized crystal structure of GdTcNO. Values from VASP.

## Properties
Space group ... P4/mmm, No. 123
Crystal system ... tetragonal

Quantum ESPRESSO input file:
```
&SYSTEM
  ibrav = 0, nat = 8, ntyp = 4
/
ATOMIC_SPECIES
O 16.00 O.upf
Gd 157.25 Gd.upf
Tc 98.00 Tc.upf
N 14.01 N.upf
CELL_PARAMETERS angstrom
-2.124 0.350 4.333
-4.323 -0.676 -2.065
0.417 -4.367 0.558
ATOMIC_POSITIONS crystal
O 0.750 0.250 0.000
Gd 0.250 0.750 0.500
Tc 0.750 0.750 0.000
N 0.750 0.750 0.500
Gd 0.750 0.250 0.500
O 0.250 0.750 0.000
N 0.250 0.250 0.500
Tc 0.250 0.250 0.000
```

## Ba2TcH6Pd (GGA-PBE)

Data for an optimized crystal structure of Ba2TcH6Pd. Values from VASP.

## Properties
Space group ... P-1, No. 2
Crystal system ... triclinic

Quantum ESPRESSO input file:
```
&SYSTEM
  ibrav = 0, nat = 20, ntyp = 4
/
ATOMIC_SPECIES
Tc 98.00 Tc.upf
Ba 137.33 Ba.upf
H 1.01 H.upf
Pd 106.42 Pd.upf
CELL_PARAMETERS angstrom
-2.756 3.882 2.594
1.815 -1.882 4.755
6.827 5.210 -0.540
ATOMIC_POSITIONS crystal
Tc 0.550 0.450 0.500
Ba 0.550 0.950 0.250
H 0.800 0.199 0.000
H 0.300 0.702 0.000
H 0.299 0.698 0.500
Pd 0.050 0.950 0.500
H 0.050 0.950 0.210
H 0.550 0.450 0.710
Ba 0.550 0.950 0.750
Tc 0.050 0.950 0.000
H 0.050 0.950 0.790
H 0.550 0.450 0.290
H 0.802 0.700 0.000
Ba 0.050 0.450 0.250
Pd 0.550 0.450 0.000
H 0.797 0.700 0.500
H 0.303 0.199 0.500
H 0.801 0.201 0.500
Ba 0.050 0.450 0.750
H 0.298 0.200 0.000
```

Number 1: total energy -98.95 eV for the cell shown, total magnetic moment 0.04 μB per cell. Number 2: total energy -126.22 eV for the cell shown, total magnetic moment 0.01 μB per cell. Number 3: total energy -64.24 eV for the cell shown, total magnetic moment 4.21 μB per cell. Number 4: total energy -84.93 eV for the cell shown, total magnetic moment 1.34 μB per cell.